## HfZrTiGa (GGA-PBE)

Data for crystalline HfZrTiGa at its relaxed geometry.

Cell: 6.7710 6.7710 6.7710 Å, 90.00 90.00 90.00°
Closest atoms and distances in Å follow each position.
Space group F-43m (No. 216)
One atom of each set of equivalent atoms:
Hf (0.0000, 0.0000, 0.0000) x4  4 Ti 2.93, 4 Ga 2.93
Zr (0.0000, 0.0000, 0.5000) x4  4 Ga 2.93, 4 Ti 2.93
Ti (0.2500, 0.2500, 0.7500) x4  4 Zr 2.93, 4 Hf 2.93
Ga (0.2500, 0.2500, 0.2500) x4  4 Zr 2.93, 4 Hf 2.93

Calculated values
E_tot	-120.035	eV per cell
energy of formation	-146	meV/atom